VASP calculation (PBE) on a relaxed NdSnRh crystal.

Cell: 4.629 4.629 3.850 Å, 90.00 90.00 120.00°
Element x y z (fractional)
Nd1 0.000 0.000 0.000
Sn1 0.667 0.333 0.500
Rh1 0.333 0.667 0.500

energy of formation from the pure elements	-69	kJ per mole of atoms

VASP calculation (PBE) on a relaxed DyY3Ru crystal.

Cell: 6.324 6.324 12.804 Å, 111.73 111.73 36.32°
Element x y z (fractional)
Dy1 0.000 0.000 0.000
Dy2 0.113 0.113 0.282
Y1 0.308 0.308 0.765
Y2 0.338 0.338 0.144
Y3 0.645 0.645 0.527
Y4 0.675 0.675 0.907
Y5 0.870 0.870 0.388
Y6 0.983 0.983 0.672
Ru1 0.310 0.310 0.524
Ru2 0.670 0.670 0.146

energy above the most stable polymorph in this dataset	0.000	eV per atom
energy of formation from the pure elements	-20	kJ per mole of atoms

VASP calculation (PBE) on a relaxed TbNdIrPd crystal.

Cell: 4.993 4.993 4.993 Å, 60.00 60.00 60.00°
Element x y z (fractional)
Tb1 0.000 0.000 0.000
Nd1 0.500 0.500 0.500
Ir1 0.750 0.750 0.750
Pd1 0.250 0.250 0.250

energy of formation from the pure elements	-74	kJ per mole of atoms

VASP calculation (PBE) on a relaxed AsBr2Cl3F6 crystal.

Cell: 7.350 7.350 5.743 Å, 96.17 96.17 59.18°
Element x y z (fractional)
As1 0.000 0.000 0.000
Br1 0.323 0.323 0.297
Br2 0.677 0.677 0.703
Cl1 0.000 0.500 0.500
Cl2 0.500 0.000 0.500
Cl3 0.500 0.500 0.500
F1 0.051 0.051 0.298
F2 0.080 0.733 0.053
F3 0.267 0.920 0.947
F4 0.733 0.080 0.053
F5 0.920 0.267 0.947
F6 0.949 0.949 0.702

E_form (uncorrected)	-1.139	eV/atom

What did we get for calculated volume? Answer: 23.8 27.9 22.0 22.0 A^3/atom, in the order shown.
What did we get for calculated density? Answer: 8.50 6.31 11.36 2.86 g/cm³, in the order shown.
What did we get for DOS at the Fermi energy? Answer: 2.5 5.4 3.0 0.0 states/eV/f.u., in the order shown.